VASP calculation (GGA-PBE) on Li5Ca2Mg2Ag after structural relaxation.

The structure in POSCAR format:
```
Li5Ca2Mg2Ag
1.0
11.832 0.000 0.000
0.000 11.832 0.000
0.000 0.000 3.486
Li Ca Mg Ag
10 4 4 2
Cartesian
0.000 5.916 0.000
0.616 2.063 0.000
2.063 11.215 0.000
3.853 5.299 0.000
5.299 7.979 0.000
5.916 0.000 0.000
6.532 3.853 0.000
7.979 6.532 0.000
9.769 0.616 0.000
11.215 9.769 0.000
2.010 7.926 1.743
3.906 2.010 1.743
7.926 9.822 1.743
9.822 3.906 1.743
1.542 4.374 1.743
4.374 10.289 1.743
7.458 1.542 1.743
10.289 7.458 1.743
0.000 0.000 1.743
5.916 5.916 1.743
```

E_tot ... -0.0720 Ha/atom

***

VASP calculation (GGA-PBE) on LiCaMg2Ag after structural relaxation.

The structure in POSCAR format:
```
LiCaMg2Ag
1.0
5.193 0.000 0.000
0.000 5.193 0.000
0.000 0.000 4.994
Li Ca Mg Ag
1 1 2 1
Cartesian
0.000 0.000 0.000
2.597 2.597 0.000
0.000 2.597 2.497
2.597 0.000 2.497
0.000 0.000 2.497
```

E_tot ... -0.0730 Ha/atom

***

VASP calculation (GGA-PBE) on LiCa2MgAg6 after structural relaxation.

The structure in POSCAR format:
```
LiCa2MgAg6
1.0
5.706 0.000 0.000
-2.704 6.198 0.000
-2.802 -1.440 6.170
Li Ca Mg Ag
1 2 1 6
Cartesian
0.000 0.000 0.000
-2.718 3.488 4.702
2.918 1.270 1.468
0.100 2.379 3.085
-1.337 0.176 4.219
0.074 2.581 0.384
-1.336 4.617 1.929
1.536 0.141 4.241
0.126 2.177 5.786
1.537 4.582 1.951
```

E_tot ... -0.0963 Ha/atom

***

Which formation energy from the elements belongs to each record? In order, 0.001; 0.004; -0.159 eV per atom.